Compound: CaMgZn2Ni
Source: Alexandria
Functional: GGA-PBE
Structure: relaxed

For the density of states at the Fermi level, the calculation gives 0.541 states/eV/atom. Its energy of formation from the pure elements is -0.12 eV per atom. As for the space-group type: P4/mmm, No. 123.

a = 4.6927 Å, b = 4.6927 Å, c = 4.7140 Å
α = 90.00°, β = 90.00°, γ = 90.00°
Closest atoms and distances in Å follow each position.
Fractional coordinates of all 5 atoms:
Ni (0.0000, 0.0000, 0.0000)  4 Zn 2.35, 2 Mg 2.36
Zn (0.0000, 0.5000, 0.0000)  2 Ni 2.35
Zn (0.5000, 0.0000, 0.0000)  2 Ni 2.35
Ca (0.5000, 0.5000, 0.5000)  4 Mg 3.32, 8 Zn 3.33
Mg (0.0000, 0.0000, 0.5000)  2 Ni 2.36

---

Compound: Ba2MgSc
Source: Alexandria
Functional: GGA-PBE
Structure: relaxed

For the density of states at the Fermi level, the calculation gives 1.828 states/eV/atom. Its energy of formation from the pure elements is 0.47 eV per atom. As for the space-group type: I-42d, No. 122.

a = 9.5242 Å, b = 9.5242 Å, c = 7.5913 Å
α = 51.15°, β = 51.15°, γ = 90.00°
Closest atoms and distances in Å follow each position.
Fractional coordinates of all 8 atoms:
Mg (0.2500, 0.7500, 0.5000)  4 Ba 3.46, 2 Sc 3.50
Mg (0.5000, 0.5000, 0.0000)  4 Ba 3.46, 2 Sc 3.50
Ba (0.6221, 0.1250, 0.2500)  2 Mg 3.46, 2 Sc 3.50, 2 Ba 3.50
Ba (0.3750, 0.3779, 0.7500)  2 Mg 3.46, 2 Sc 3.50, 2 Ba 3.50
Ba (0.1279, 0.6250, 0.2500)  2 Mg 3.46, 2 Sc 3.50, 2 Ba 3.50
Ba (0.8750, 0.8721, 0.7500)  2 Mg 3.46, 2 Sc 3.50, 2 Ba 3.50
Sc (0.0000, 0.0000, 0.0000)  4 Ba 3.50, 2 Mg 3.50
Sc (0.7500, 0.2500, 0.5000)  4 Ba 3.50, 2 Mg 3.50

---

Compound: NaYGe2
Source: Alexandria
Functional: GGA-PBE
Structure: relaxed

For the density of states at the Fermi level, the calculation gives 0.495 states/eV/atom. Its energy of formation from the pure elements is -0.28 eV per atom. As for the space-group type: Fm-3m, No. 225.

a = 5.0188 Å, b = 5.0188 Å, c = 5.0188 Å
α = 60.00°, β = 60.00°, γ = 60.00°
Closest atoms and distances in Å follow each position.
Fractional coordinates of all 4 atoms:
Na (0.0000, 0.0000, 0.0000)  8 Ge 3.07
Ge (0.2500, 0.2500, 0.2500)  4 Na 3.07, 4 Y 3.07
Ge (0.7500, 0.7500, 0.7500)  4 Na 3.07, 4 Y 3.07
Y (0.5000, 0.5000, 0.5000)  8 Ge 3.07

---

Compound: CrGaCo2C
Source: Alexandria
Functional: GGA-PBE
Structure: relaxed

For the density of states at the Fermi level, the calculation gives 0.721 states/eV/atom. Its energy of formation from the pure elements is -0.07 eV per atom. As for the space-group type: P4/mmm, No. 123.

a = 3.7829 Å, b = 3.7829 Å, c = 3.8414 Å
α = 90.00°, β = 90.00°, γ = 90.00°
Closest atoms and distances in Å follow each position.
Fractional coordinates of all 5 atoms:
Co (0.0000, 0.5000, 0.0000)  2 C 1.89
Co (0.5000, 0.0000, 0.0000)  2 C 1.89
Cr (0.0000, 0.0000, 0.5000)  2 C 1.92
Ga (0.5000, 0.5000, 0.5000)  4 Cr 2.67, 8 Co 2.70
C (0.0000, 0.0000, 0.0000)  4 Co 1.89, 2 Cr 1.92

---

Compound: PmY5Tm3
Source: Alexandria
Functional: GGA-PBE
Structure: relaxed

For the density of states at the Fermi level, the calculation gives 1.334 states/eV/atom. Its energy of formation from the pure elements is 0.29 eV per atom. As for the space-group type: I4/mcm, No. 140.

a = 8.4309 Å, b = 8.4309 Å, c = 10.0513 Å
α = 114.80°, β = 114.80°, γ = 90.00°
Closest atoms and distances in Å follow each position.
Fractional coordinates of all 18 atoms:
Y (0.0000, 0.0000, 0.0000)  4 Tm 3.35
Y (0.5638, 0.6634, 0.7271)  1 Pm 3.01, 1 Tm 3.07
Y (0.9362, 0.4362, 0.2729)  1 Pm 3.01, 1 Tm 3.07
Y (0.6634, 0.1634, 0.7271)  1 Pm 3.01, 1 Tm 3.07
Y (0.1634, 0.0638, 0.7271)  1 Pm 3.01, 1 Tm 3.07
Y (0.3366, 0.8366, 0.2729)  1 Pm 3.01, 1 Tm 3.07
Y (0.5000, 0.5000, 0.0000)  4 Tm 3.35
Y (0.4362, 0.3366, 0.2729)  1 Pm 3.01, 1 Tm 3.07
Y (0.0638, 0.5638, 0.7271)  1 Pm 3.01, 1 Tm 3.07
Y (0.8366, 0.9362, 0.2729)  1 Pm 3.01, 1 Tm 3.07
Tm (0.6215, 0.1215, 0.0000)  1 Tm 2.90, 2 Y 3.07
Tm (0.1215, 0.3785, 0.0000)  1 Tm 2.90, 2 Y 3.07
Tm (0.8785, 0.6215, 0.0000)  1 Tm 2.90, 2 Y 3.07
Tm (0.3785, 0.8785, 0.0000)  1 Tm 2.90, 2 Y 3.07
Tm (0.2500, 0.2500, 0.5000)  8 Y 3.55
Tm (0.7500, 0.7500, 0.5000)  8 Y 3.55
Pm (0.7500, 0.2500, 0.5000)  4 Y 3.01
Pm (0.2500, 0.7500, 0.5000)  4 Y 3.01

---

Compound: Ba2Ag
Source: Alexandria
Functional: GGA-PBE
Structure: relaxed

For the density of states at the Fermi level, the calculation gives 1.141 states/eV/atom. Its energy of formation from the pure elements is -0.14 eV per atom. As for the space-group type: P-62m, No. 189.

a = 9.3541 Å, b = 9.3541 Å, c = 5.1465 Å
α = 90.00°, β = 90.00°, γ = 120.00°
Closest atoms and distances in Å follow each position.
Fractional coordinates of all 9 atoms:
Ag (0.6667, 0.3333, 0.0000)  9 Ba 3.51-3.83
Ag (0.3333, 0.6667, 0.0000)  9 Ba 3.51-3.83
Ag (0.0000, 0.0000, 0.5000)  9 Ba 3.54-3.79
Ba (0.0000, 0.5948, 0.5000)  5 Ag 3.79-3.83, 6 Ba 4.06-4.20
Ba (0.0000, 0.2597, 0.0000)  4 Ag 3.51-3.54
Ba (0.4052, 0.4052, 0.5000)  5 Ag 3.79-3.83, 6 Ba 4.06-4.20
Ba (0.2597, 0.0000, 0.0000)  4 Ag 3.51-3.54
Ba (0.7403, 0.7403, 0.0000)  4 Ag 3.51-3.54
Ba (0.5948, 0.0000, 0.5000)  5 Ag 3.79-3.83, 6 Ba 4.06-4.20

---

Compound: Ba2SmIO6
Source: Alexandria
Functional: GGA-PBE
Structure: relaxed

For the density of states at the Fermi level, the calculation gives 0.000 states/eV/atom. The uncorrected formation energy is -2121 meV/atom. As for the space-group type: Fm-3m, No. 225.

a = 6.2223 Å, b = 6.2223 Å, c = 6.2223 Å
α = 60.00°, β = 60.00°, γ = 60.00°
Closest atoms and distances in Å follow each position.
Fractional coordinates of all 10 atoms:
O (0.2400, 0.2400, 0.7600)  1 I 2.11, 1 Sm 2.29
O (0.7600, 0.2400, 0.7600)  1 I 2.11, 1 Sm 2.29
O (0.2400, 0.7600, 0.7600)  1 I 2.11, 1 Sm 2.29
O (0.7600, 0.7600, 0.2400)  1 I 2.11, 1 Sm 2.29
O (0.7600, 0.2400, 0.2400)  1 I 2.11, 1 Sm 2.29
O (0.2400, 0.7600, 0.2400)  1 I 2.11, 1 Sm 2.29
Sm (0.5000, 0.5000, 0.5000)  6 O 2.29
Ba (0.7500, 0.7500, 0.7500)  12 O 3.11
Ba (0.2500, 0.2500, 0.2500)  12 O 3.11
I (0.0000, 0.0000, 0.0000)  6 O 2.11

---

Compound: URe5Si6
Source: Alexandria
Functional: GGA-PBE
Structure: relaxed

For the density of states at the Fermi level, the calculation gives 0.840 states/eV/atom. The uncorrected formation energy is -57 meV/atom. As for the space-group type: C2/m, No. 12.

a = 7.3050 Å, b = 5.3052 Å, c = 6.3451 Å
α = 65.29°, β = 76.28°, γ = 55.44°
Closest atoms and distances in Å follow each position.
Fractional coordinates of all 12 atoms:
Si (0.2027, 0.3716, 0.0000)  5 Re 2.45-2.62, 3 Si 2.46-2.71
Si (0.2974, 0.7752, 0.6276)  5 Re 2.47-2.67, 2 Si 2.55-2.71
Si (0.2974, 0.4029, 0.3724)  5 Re 2.47-2.67, 2 Si 2.55-2.71
Si (0.7026, 0.2248, 0.3724)  5 Re 2.47-2.67, 2 Si 2.55-2.71
Si (0.7973, 0.6284, 0.0000)  5 Re 2.45-2.62, 3 Si 2.46-2.71
Si (0.7026, 0.5971, 0.6276)  5 Re 2.47-2.67, 2 Si 2.55-2.71
Re (0.5000, 0.5000, 0.0000)  6 Si 2.50-2.62
Re (0.0000, 0.6903, 0.6195)  6 Si 2.47-2.51
Re (0.5000, 0.8700, 0.2600)  6 Si 2.45-2.67
Re (0.5000, 0.1300, 0.7400)  6 Si 2.45-2.67
Re (0.0000, 0.3097, 0.3805)  6 Si 2.47-2.51
U (0.0000, 0.0000, 0.0000)  8 Si 2.78-3.06, 2 Re 3.06

---

Compound: K2Bi3Pb
Source: Alexandria
Functional: GGA-PBE
Structure: relaxed

For the density of states at the Fermi level, the calculation gives 0.794 states/eV/atom. Its energy of formation from the pure elements is -0.19 eV per atom. As for the space-group type: P-3m1, No. 164.

a = 7.0894 Å, b = 7.0894 Å, c = 11.2603 Å
α = 90.00°, β = 90.00°, γ = 120.00°
Closest atoms and distances in Å follow each position.
Fractional coordinates of all 12 atoms:
K (0.3333, 0.6667, 0.5970)  9 Bi 3.90-4.24, 3 K 4.24
K (0.0000, 0.0000, 0.0000)  6 Bi 3.66
K (0.0000, 0.0000, 0.5000)  6 Bi 3.49
K (0.6667, 0.3333, 0.4030)  9 Bi 3.90-4.24, 3 K 4.24
Bi (0.1794, 0.3588, 0.2601)  1 Pb 3.12, 2 Bi 3.27, 1 K 3.49
Bi (0.8206, 0.6412, 0.7399)  1 Pb 3.12, 2 Bi 3.27, 1 K 3.49
Bi (0.8206, 0.1794, 0.7399)  1 Pb 3.12, 2 Bi 3.27, 1 K 3.49
Bi (0.3588, 0.1794, 0.7399)  1 Pb 3.12, 2 Bi 3.27, 1 K 3.49
Bi (0.1794, 0.8206, 0.2601)  1 Pb 3.12, 2 Bi 3.27, 1 K 3.49
Bi (0.6412, 0.8206, 0.2601)  1 Pb 3.12, 2 Bi 3.27, 1 K 3.49
Pb (0.3333, 0.6667, 0.0396)  3 Bi 3.12
Pb (0.6667, 0.3333, 0.9604)  3 Bi 3.12

---

Compound: PmTl3Sn2Te6
Source: Alexandria
Functional: GGA-PBE
Structure: relaxed

For the density of states at the Fermi level, the calculation gives 0.794 states/eV/atom. The uncorrected formation energy is -503 meV/atom. As for the space-group type: C2/m, No. 12.

a = 7.8467 Å, b = 7.8467 Å, c = 8.2916 Å
α = 99.09°, β = 99.09°, γ = 119.96°
Closest atoms and distances in Å follow each position.
Fractional coordinates of all 12 atoms:
Pm (0.0000, 0.0000, 0.0000)  6 Te 3.16-3.17
Te (0.9264, 0.5892, 0.7790)  2 Sn 3.13, 1 Pm 3.17, 3 Tl 3.42-3.43
Te (0.0736, 0.4108, 0.2210)  2 Sn 3.13, 1 Pm 3.17, 3 Tl 3.42-3.43
Te (0.4108, 0.0736, 0.2210)  2 Sn 3.13, 1 Pm 3.17, 3 Tl 3.42-3.43
Te (0.7356, 0.7356, 0.2188)  2 Sn 3.12, 1 Pm 3.16, 3 Tl 3.40-3.41
Te (0.2644, 0.2644, 0.7812)  2 Sn 3.12, 1 Pm 3.16, 3 Tl 3.40-3.41
Te (0.5892, 0.9264, 0.7790)  2 Sn 3.13, 1 Pm 3.17, 3 Tl 3.42-3.43
Sn (0.3332, 0.6668, 0.0000)  6 Te 3.12-3.13
Sn (0.6668, 0.3332, 0.0000)  6 Te 3.12-3.13
Tl (0.1640, 0.8360, 0.5000)  6 Te 3.41-3.43
Tl (0.8360, 0.1640, 0.5000)  6 Te 3.41-3.43
Tl (0.5000, 0.5000, 0.5000)  6 Te 3.40-3.43